A relaxed structure of FeHg2Os2, computed with GGA-PBE.

Values from the calculation:
symmetry	No. 127
spin magnetization	6.87	μB/cell
offset from the most stable computed form	0	meV per atom
DFT total energy	-5.501	eV per atom
E_form	804	meV/atom

Cell lengths 6.3602, 6.3602, 4.4575 Å; angles 90.00, 90.00, 90.00 degrees
With the nearest neighbours (Å) after each atom.
Fractional coordinates of all 10 atoms:
Hg 0.3202 0.1798 0.5000  6 Os 2.79-3.00
Hg 0.1798 0.6798 0.5000  6 Os 2.79-3.00
Hg 0.8202 0.3202 0.5000  6 Os 2.79-3.00
Hg 0.6798 0.8202 0.5000  6 Os 2.79-3.00
Os 0.6327 0.1327 0.0000  1 Os 2.39, 2 Fe 2.48
Os 0.3673 0.8673 0.0000  1 Os 2.39, 2 Fe 2.48
Os 0.1327 0.3673 0.0000  1 Os 2.39, 2 Fe 2.48
Os 0.8673 0.6327 0.0000  1 Os 2.39, 2 Fe 2.48
Fe 0.0000 0.0000 0.0000  4 Os 2.48
Fe 0.5000 0.5000 0.0000  4 Os 2.48